No. 1
TaTiSe2N | PBE | optimized geometry Values from VASP.

The structure in Quantum ESPRESSO input format:
```
&SYSTEM
  ibrav = 0, nat = 5, ntyp = 4
/
ATOMIC_SPECIES
Ta 180.95 Ta.upf
Ti 47.87 Ti.upf
Se 78.96 Se.upf
N 14.01 N.upf
ATOMIC_POSITIONS angstrom
Ta 0.000 0.000 0.000
Ti 2.578 2.578 1.935
Se 0.000 2.578 0.000
Se 2.578 0.000 0.000
N 0.000 0.000 1.935
CELL_PARAMETERS angstrom
5.156 0.000 0.000
0.000 5.156 0.000
0.000 0.000 3.871
```

**Energy relative to the elements, uncorrected**: -0.092 eV per atom
**ΔE to the lowest computed polymorph**: 0.0 meV per atom
**Total magnetization**: 0.380 μB per atom
**Space group**: No. 123

=====

No. 2
ScCoSb | PBE | optimized geometry Values from VASP.

The structure in Quantum ESPRESSO input format:
```
&SYSTEM
  ibrav = 0, nat = 3, ntyp = 3
/
ATOMIC_SPECIES
Sc 44.96 Sc.upf
Co 58.93 Co.upf
Sb 121.76 Sb.upf
ATOMIC_POSITIONS angstrom
Sc 0.000 0.000 0.000
Co 0.000 0.000 6.910
Sb 0.000 0.000 3.050
CELL_PARAMETERS angstrom
-1.606 1.606 5.257
1.606 -1.606 5.257
1.606 1.606 -5.257
```

**Energy relative to the elements, uncorrected**: -0.241 eV per atom
**Total magnetization**: 0.163 μB per atom
**Space group**: No. 107

=====

No. 3
AgSeS | PBE | optimized geometry Values from VASP.

The structure in Quantum ESPRESSO input format:
```
&SYSTEM
  ibrav = 0, nat = 6, ntyp = 3
/
ATOMIC_SPECIES
Ag 107.87 Ag.upf
Se 78.96 Se.upf
S 32.06 S.upf
ATOMIC_POSITIONS angstrom
Ag -0.823 2.215 1.628
Ag 2.420 2.617 4.602
Se 1.788 0.264 1.182
Se -0.191 4.568 5.049
S 0.663 1.003 4.141
S 0.934 3.829 2.089
CELL_PARAMETERS angstrom
4.225 0.000 0.000
-1.802 5.373 0.000
-0.825 -0.541 6.230
```

**Energy relative to the elements, uncorrected**: 0.074 eV per atom
**ΔE to the lowest computed polymorph**: 83.0 meV per atom
**Total magnetization**: 0.000 μB per atom
**Space group**: No. 2

=====

No. 4
Re2AgSb | PBE | optimized geometry Values from VASP.

The structure in Quantum ESPRESSO input format:
```
&SYSTEM
  ibrav = 0, nat = 8, ntyp = 3
/
ATOMIC_SPECIES
Re 186.21 Re.upf
Ag 107.87 Ag.upf
Sb 121.76 Sb.upf
ATOMIC_POSITIONS angstrom
Re 2.960 0.733 -2.463
Re 0.733 0.987 2.463
Re -0.987 1.240 7.388
Re 1.240 0.987 12.314
Ag 0.000 0.000 0.000
Ag 0.000 1.974 4.925
Sb 1.974 0.000 4.925
Sb 0.000 0.000 9.851
CELL_PARAMETERS angstrom
-1.974 1.974 9.851
1.974 -1.974 9.851
1.974 1.974 -9.851
```

**Energy relative to the elements, uncorrected**: 0.861 eV per atom
**Total magnetization**: 0.000 μB per atom
**Space group**: No. 122

=====

No. 5
Ac3TeN | PBE | optimized geometry Values from VASP.

The structure in Quantum ESPRESSO input format:
```
&SYSTEM
  ibrav = 0, nat = 5, ntyp = 3
/
ATOMIC_SPECIES
Ac 227.00 Ac.upf
Te 127.60 Te.upf
N 14.01 N.upf
ATOMIC_POSITIONS angstrom
Ac 0.000 0.000 2.656
Ac 0.000 2.656 0.000
Ac 2.656 0.000 0.000
Te 2.656 2.656 2.656
N 0.000 0.000 0.000
CELL_PARAMETERS angstrom
5.311 0.000 0.000
0.000 5.311 0.000
0.000 0.000 5.311
```

**Energy relative to the elements, uncorrected**: -0.775 eV per atom
**Total magnetization**: 0.000 μB per atom
**Space group**: No. 221

=====

No. 6
Ti2VPt2 | PBE | optimized geometry Values from VASP.

The structure in Quantum ESPRESSO input format:
```
&SYSTEM
  ibrav = 0, nat = 10, ntyp = 3
/
ATOMIC_SPECIES
Ti 47.87 Ti.upf
V 50.94 V.upf
Pt 195.08 Pt.upf
ATOMIC_POSITIONS angstrom
Ti 1.219 2.424 0.000
Ti 2.424 6.067 0.000
Ti 4.862 1.219 0.000
Ti 6.067 4.862 0.000
V 0.000 0.000 1.558
V 3.643 3.643 1.558
Pt 0.978 4.621 1.558
Pt 2.665 0.978 1.558
Pt 4.621 6.308 1.558
Pt 6.308 2.665 1.558
CELL_PARAMETERS angstrom
7.286 0.000 0.000
0.000 7.286 0.000
0.000 0.000 3.115
```

**DFT formation energy**: -0.54 eV/atom
**ΔE to the lowest computed polymorph**: 0.0 meV per atom
**Total magnetization**: 0.502 μB per atom
**Space group**: No. 127

=====

No. 7
AcMg3In2 | PBE | optimized geometry Values from VASP.

The structure in Quantum ESPRESSO input format:
```
&SYSTEM
  ibrav = 0, nat = 12, ntyp = 3
/
ATOMIC_SPECIES
Ac 227.00 Ac.upf
Mg 24.30 Mg.upf
In 114.82 In.upf
ATOMIC_POSITIONS angstrom
Ac 0.000 0.000 2.038
Ac 0.000 0.000 13.307
Mg 2.467 2.698 -2.580
Mg 0.000 2.979 0.000
Mg 2.467 2.698 2.580
Mg 0.000 1.712 5.093
Mg 0.000 5.840 0.000
Mg 0.000 1.712 10.253
In 2.467 1.440 0.000
In 2.467 0.000 4.715
In 0.000 4.410 2.957
In 0.000 2.969 7.673
CELL_PARAMETERS angstrom
-2.467 4.410 7.673
2.467 -4.410 7.673
2.467 4.410 -7.673
```

**DFT formation energy**: -0.23 eV/atom
**ΔE to the lowest computed polymorph**: 27.7 meV per atom
**Total magnetization**: 0.000 μB per atom
**Space group**: No. 71

=====

No. 8
Cd6AgPd | PBE | optimized geometry Values from VASP.

The structure in Quantum ESPRESSO input format:
```
&SYSTEM
  ibrav = 0, nat = 8, ntyp = 3
/
ATOMIC_SPECIES
Cd 112.41 Cd.upf
Ag 107.87 Ag.upf
Pd 106.42 Pd.upf
ATOMIC_POSITIONS angstrom
Cd 1.409 0.000 0.426
Cd 1.996 0.000 3.445
Cd 4.420 0.000 1.666
Cd 6.982 0.000 3.221
Cd 9.406 0.000 1.442
Cd 9.993 0.000 4.461
Ag -1.024 0.000 2.443
Pd 6.725 0.000 0.000
CELL_PARAMETERS angstrom
6.725 -2.472 0.000
6.725 2.472 0.000
-2.047 0.000 4.887
```

**DFT formation energy**: -0.10 eV/atom
**Total magnetization**: 0.000 μB per atom
**Space group**: No. 12

=====

No. 9
TlCoS2 | PBE | optimized geometry Values from VASP.

The structure in Quantum ESPRESSO input format:
```
&SYSTEM
  ibrav = 0, nat = 4, ntyp = 3
/
ATOMIC_SPECIES
Tl 204.38 Tl.upf
Co 58.93 Co.upf
S 32.06 S.upf
ATOMIC_POSITIONS angstrom
Tl 0.000 0.000 0.000
Co 0.000 0.000 12.208
S 0.000 0.000 2.963
S 0.000 0.000 21.452
CELL_PARAMETERS angstrom
1.698 0.980 8.138
-1.698 0.980 8.138
0.000 -1.961 8.138
```

**Energy relative to the elements, uncorrected**: -0.293 eV per atom
**Total magnetization**: 0.000 μB per atom
**Space group**: No. 166

=====

No. 10
TlH2F6 | PBE | optimized geometry Values from VASP.

The structure in Quantum ESPRESSO input format:
```
&SYSTEM
  ibrav = 0, nat = 18, ntyp = 3
/
ATOMIC_SPECIES
Tl 204.38 Tl.upf
H 1.01 H.upf
F 19.00 F.upf
ATOMIC_POSITIONS angstrom
Tl 3.270 2.086 4.022
Tl 4.514 -2.086 1.341
H 1.218 0.500 5.268
H 2.462 -0.500 2.587
H 5.321 0.500 2.776
H 6.565 -0.500 0.095
F -0.328 0.371 2.807
F 0.916 -0.371 0.126
F 1.454 1.544 5.248
F 2.254 0.737 2.621
F 1.009 -0.737 5.302
F 5.085 1.544 2.796
F 2.699 -1.544 2.567
F 6.774 0.737 0.061
F 5.530 -0.737 2.742
F 6.329 -1.544 0.115
F 6.867 0.371 5.237
F 8.111 -0.371 2.556
CELL_PARAMETERS angstrom
5.136 -4.075 0.000
5.136 4.075 0.000
-2.488 0.000 5.363
```

**Total magnetization**: 0.120 μB per atom
**Space group**: No. 15

=====

No. 11
Zn2In3Hg3 | PBE | optimized geometry Values from VASP.

The structure in Quantum ESPRESSO input format:
```
&SYSTEM
  ibrav = 0, nat = 8, ntyp = 3
/
ATOMIC_SPECIES
Zn 65.41 Zn.upf
In 114.82 In.upf
Hg 200.59 Hg.upf
ATOMIC_POSITIONS angstrom
Zn -0.118 0.179 3.478
Zn 1.335 3.312 3.621
In 0.000 0.000 0.000
In -1.024 2.664 1.975
In 2.241 0.828 5.124
Hg -1.055 3.641 5.151
Hg 1.420 2.847 0.000
Hg 2.272 -0.150 1.949
CELL_PARAMETERS angstrom
4.756 0.000 0.000
-1.917 5.694 0.000
-1.622 -2.202 7.100
```

**DFT formation energy**: 0.07 eV/atom
**Total magnetization**: 0.000 μB per atom
**Space group**: No. 2

=====

No. 12
Tb5Ni2Ru | PBE | optimized geometry Values from VASP.

The structure in Quantum ESPRESSO input format:
```
&SYSTEM
  ibrav = 0, nat = 16, ntyp = 3
/
ATOMIC_SPECIES
Tb 158.93 Tb.upf
Ni 58.69 Ni.upf
Ru 101.07 Ru.upf
ATOMIC_POSITIONS angstrom
Tb 0.000 0.000 0.000
Tb 4.789 1.243 -2.137
Tb 1.243 2.304 -2.137
Tb 4.789 1.243 2.137
Tb 1.243 2.304 2.137
Tb 0.000 0.000 7.303
Tb 2.304 1.243 5.166
Tb -1.243 2.304 5.166
Tb 2.304 1.243 9.440
Tb -1.243 2.304 9.440
Ni 2.705 0.841 0.000
Ni 2.705 -0.841 7.303
Ni 0.841 4.388 0.000
Ni 0.841 2.705 7.303
Ru 0.000 0.000 3.651
Ru 0.000 0.000 10.954
CELL_PARAMETERS angstrom
-3.546 3.546 7.303
3.546 -3.546 7.303
3.546 3.546 -7.303
```

**DFT formation energy**: -0.34 eV/atom
**Total magnetization**: 0.000 μB per atom
**Space group**: No. 140

=====

No. 13
TbBeIrN | PBE | optimized geometry Values from VASP.

The structure in Quantum ESPRESSO input format:
```
&SYSTEM
  ibrav = 0, nat = 8, ntyp = 4
/
ATOMIC_SPECIES
Tb 158.93 Tb.upf
Be 9.01 Be.upf
Ir 192.22 Ir.upf
N 14.01 N.upf
ATOMIC_POSITIONS angstrom
Tb 0.924 0.924 1.260
Tb 2.771 2.771 6.849
Be 0.924 0.924 5.479
Be 2.771 2.771 2.630
Ir 0.924 2.771 4.054
Ir 2.771 0.924 4.054
N 0.924 0.924 7.076
N 2.771 2.771 1.033
CELL_PARAMETERS angstrom
3.695 0.000 0.000
0.000 3.695 0.000
0.000 0.000 8.109
```

**Energy relative to the elements, uncorrected**: -1.043 eV per atom
**Total magnetization**: 0.000 μB per atom
**Space group**: No. 129

=====

No. 14
SmPuMgAl | PBE | optimized geometry Values from VASP.

The structure in Quantum ESPRESSO input format:
```
&SYSTEM
  ibrav = 0, nat = 4, ntyp = 4
/
ATOMIC_SPECIES
Sm 150.36 Sm.upf
Pu 244.00 Pu.upf
Mg 24.30 Mg.upf
Al 26.98 Al.upf
ATOMIC_POSITIONS angstrom
Sm 0.000 0.000 0.000
Pu 3.715 3.715 3.715
Mg 1.858 1.858 1.858
Al 5.573 5.573 5.573
CELL_PARAMETERS angstrom
0.000 3.715 3.715
3.715 0.000 3.715
3.715 3.715 0.000
```

**DFT formation energy**: -0.07 eV/atom
**Total magnetization**: 1.496 μB per atom
**Space group**: No. 216

=====

No. 15
LiThInTc | PBE | optimized geometry Values from VASP.

The structure in Quantum ESPRESSO input format:
```
&SYSTEM
  ibrav = 0, nat = 4, ntyp = 4
/
ATOMIC_SPECIES
Li 6.94 Li.upf
Th 232.04 Th.upf
In 114.82 In.upf
Tc 98.00 Tc.upf
ATOMIC_POSITIONS angstrom
Li 0.000 0.000 0.000
Th 1.719 1.719 1.719
In 5.156 5.156 5.156
Tc 3.437 3.437 3.437
CELL_PARAMETERS angstrom
0.000 3.437 3.437
3.437 0.000 3.437
3.437 3.437 0.000
```

**DFT formation energy**: -0.05 eV/atom
**Total magnetization**: 0.000 μB per atom
**Space group**: No. 216

=====

No. 16
Tb4AgIr | PBE | optimized geometry Values from VASP.

The structure in Quantum ESPRESSO input format:
```
&SYSTEM
  ibrav = 0, nat = 12, ntyp = 3
/
ATOMIC_SPECIES
Tb 158.93 Tb.upf
Ag 107.87 Ag.upf
Ir 192.22 Ir.upf
ATOMIC_POSITIONS angstrom
Tb 4.773 1.859 -0.294
Tb 2.914 4.773 -2.400
Tb 1.859 0.000 1.812
Tb 0.000 2.799 0.000
Tb 0.000 6.748 0.000
Tb 2.799 4.773 2.106
Tb 1.974 0.000 6.318
Tb 0.000 2.914 3.918
Ag 4.773 0.000 1.986
Ag 0.000 0.000 4.092
Ir 0.000 4.773 1.938
Ir 0.000 0.000 8.257
CELL_PARAMETERS angstrom
-4.773 4.773 4.212
4.773 -4.773 4.212
4.773 4.773 -4.212
```

**DFT formation energy**: -0.24 eV/atom
**ΔE to the lowest computed polymorph**: 242.7 meV per atom
**Total magnetization**: 0.000 μB per atom
**Space group**: No. 109

=====

No. 17
Na3Cu2Sb3 | PBE | optimized geometry Values from VASP.

The structure in Quantum ESPRESSO input format:
```
&SYSTEM
  ibrav = 0, nat = 32, ntyp = 3
/
ATOMIC_SPECIES
Na 22.99 Na.upf
Cu 63.55 Cu.upf
Sb 121.76 Sb.upf
ATOMIC_POSITIONS angstrom
Na 0.307 1.914 0.619
Na 0.307 5.992 0.619
Na 1.655 3.953 3.484
Na 2.522 11.860 0.542
Na 3.869 9.821 3.561
Na 3.869 13.899 3.561
Na 4.484 1.914 2.322
Na 4.484 5.992 2.322
Na 5.831 3.953 5.340
Na 6.698 11.860 2.399
Na 8.046 9.821 5.263
Na 8.046 13.899 5.263
Cu 0.783 9.573 2.379
Cu 0.783 14.147 2.379
Cu 3.393 1.667 5.320
Cu 3.393 6.240 5.320
Cu 4.960 9.573 0.563
Cu 4.960 14.147 0.563
Cu 7.570 1.667 3.504
Cu 7.570 6.240 3.504
Sb 1.316 11.860 3.430
Sb 1.614 0.548 3.709
Sb 1.614 7.359 3.709
Sb 2.562 8.454 0.768
Sb 2.562 15.266 0.768
Sb 2.860 3.953 0.489
Sb 5.493 11.860 5.394
Sb 5.791 0.548 5.115
Sb 5.791 7.359 5.115
Sb 6.739 8.454 2.174
Sb 6.739 15.266 2.174
Sb 7.037 3.953 2.452
CELL_PARAMETERS angstrom
8.353 0.000 0.000
0.000 15.814 0.000
0.000 0.000 5.883
```

**Energy relative to the elements, uncorrected**: -0.185 eV per atom
**ΔE to the lowest computed polymorph**: 30.4 meV per atom
**Total magnetization**: 0.000 μB per atom
**Space group**: No. 62

=====

No. 18
MgGeN | PBE | optimized geometry Values from VASP.

The structure in Quantum ESPRESSO input format:
```
&SYSTEM
  ibrav = 0, nat = 6, ntyp = 3
/
ATOMIC_SPECIES
Mg 24.30 Mg.upf
Ge 72.64 Ge.upf
N 14.01 N.upf
ATOMIC_POSITIONS angstrom
Mg 1.097 0.000 0.934
Mg 5.494 0.000 6.326
Ge 1.096 0.000 4.160
Ge 5.496 0.000 3.100
N 1.096 0.000 6.053
N 5.495 0.000 1.207
CELL_PARAMETERS angstrom
3.296 -1.899 0.000
3.296 1.899 0.000
-0.002 0.000 7.260
```

**Energy relative to the elements, uncorrected**: -0.358 eV per atom
**Total magnetization**: 0.000 μB per atom
**Space group**: No. 12

=====

No. 19
LiPbN | PBE | optimized geometry Values from VASP.

The structure in Quantum ESPRESSO input format:
```
&SYSTEM
  ibrav = 0, nat = 12, ntyp = 3
/
ATOMIC_SPECIES
Li 6.94 Li.upf
Pb 207.20 Pb.upf
N 14.01 N.upf
ATOMIC_POSITIONS angstrom
Li 0.797 0.842 0.176
Li 4.893 2.527 2.958
Li 6.487 0.842 2.605
Li 10.584 2.527 5.387
Pb 1.485 0.842 2.783
Pb 4.206 2.527 0.001
Pb 7.175 0.842 5.562
Pb 9.896 2.527 2.780
N 0.497 2.527 1.425
N 5.194 0.842 4.207
N 6.187 2.527 1.356
N 10.884 0.842 4.138
CELL_PARAMETERS angstrom
11.381 0.000 0.000
0.000 3.369 0.000
0.000 0.000 5.563
```

**Energy relative to the elements, uncorrected**: 0.075 eV per atom
**ΔE to the lowest computed polymorph**: 0.0 meV per atom
**Total magnetization**: 0.000 μB per atom
**Space group**: No. 62

=====

No. 20
Ba2LiMg16 | PBE | optimized geometry Values from VASP.

The structure in Quantum ESPRESSO input format:
```
&SYSTEM
  ibrav = 0, nat = 19, ntyp = 3
/
ATOMIC_SPECIES
Ba 137.33 Ba.upf
Li 6.94 Li.upf
Mg 24.30 Mg.upf
ATOMIC_POSITIONS angstrom
Ba 0.000 0.000 0.000
Ba 0.000 0.000 5.016
Li 0.000 0.000 11.784
Mg 0.000 -3.085 2.733
Mg -2.671 1.542 2.733
Mg -2.666 -1.539 7.690
Mg 0.000 -3.055 7.469
Mg -2.645 1.527 7.469
Mg -1.548 -2.681 10.284
Mg -3.096 0.000 10.284
Mg 2.671 1.542 2.733
Mg 0.000 0.000 8.785
Mg 1.548 -2.681 10.284
Mg -1.548 2.681 10.284
Mg 2.666 -1.539 7.690
Mg 0.000 3.079 7.690
Mg 2.645 1.527 7.469
Mg 3.096 0.000 10.284
Mg 1.548 2.681 10.284
CELL_PARAMETERS angstrom
5.321 3.072 5.183
-5.321 3.072 5.183
0.000 -6.144 5.183
```

**DFT formation energy**: -0.07 eV/atom
**Total magnetization**: 0.000 μB per atom
**Space group**: No. 160

=====

No. 21
YNbOsRu | PBE | optimized geometry Values from VASP.

The structure in Quantum ESPRESSO input format:
```
&SYSTEM
  ibrav = 0, nat = 4, ntyp = 4
/
ATOMIC_SPECIES
Y 88.91 Y.upf
Nb 92.91 Nb.upf
Os 190.23 Os.upf
Ru 101.07 Ru.upf
ATOMIC_POSITIONS angstrom
Y 0.000 0.000 0.000
Nb 3.284 3.284 3.284
Os 1.642 1.642 1.642
Ru 4.926 4.926 4.926
CELL_PARAMETERS angstrom
0.000 3.284 3.284
3.284 0.000 3.284
3.284 3.284 0.000
```

**DFT formation energy**: -0.20 eV/atom
**Total magnetization**: 0.000 μB per atom
**Space group**: No. 216

=====

No. 22
Pm4Tl3Ga | PBE | optimized geometry Values from VASP.

The structure in Quantum ESPRESSO input format:
```
&SYSTEM
  ibrav = 0, nat = 8, ntyp = 3
/
ATOMIC_SPECIES
Pm 145.00 Pm.upf
Tl 204.38 Tl.upf
Ga 69.72 Ga.upf
ATOMIC_POSITIONS angstrom
Pm 0.000 0.000 0.000
Pm 0.000 2.308 5.623
Pm 2.209 0.000 8.336
Pm 2.209 2.308 2.546
Tl 0.000 2.308 8.876
Tl 2.209 0.000 5.046
Tl 2.209 2.308 11.008
Ga 0.000 0.000 3.135
CELL_PARAMETERS angstrom
4.419 0.000 0.000
0.000 4.616 0.000
0.000 0.000 11.678
```

**DFT formation energy**: -0.39 eV/atom
**ΔE to the lowest computed polymorph**: 41.2 meV per atom
**Total magnetization**: 0.000 μB per atom
**Space group**: No. 25

=====

Uncorrected energy values, unit eV/cell, following the record order: -35.50; -18.28; -20.48; -56.85; -27.67; -79.36; -31.48; -14.30; -18.90; -66.17; -11.14; -93.35; -59.43; -24.65; -22.62; -63.39; -103.98; -31.23; -54.89; -32.52; -37.84; -32.25.